Record 1
## FeCoCl2 (GGA-PBE)

Data for a relaxed FeCoCl2 crystal.

```
data_FeCoCl2
_space_group_name_H-M_alt 'C 1 m 1'
_space_group_IT_number 8
_cell_length_a 6.284
_cell_length_b 3.652
_cell_length_c 6.976
_cell_angle_alpha 90.00
_cell_angle_beta 90.86
_cell_angle_gamma 90.00
loop_
_space_group_symop_operation_xyz
'x,y,z'
'x,-y,z'
'x+1/2,y+1/2,z'
'x+1/2,-y+1/2,z'
loop_
_atom_site_label
_atom_site_fract_x
_atom_site_fract_y
_atom_site_fract_z
Fe1 0.000 0.000 0.000
Co1 0.337 0.000 0.154
Cl1 0.174 0.500 0.335
Cl2 0.331 0.000 0.821
```

VASP energy: -19.89 eV/f.u.

***

Record 2
## NpNiRu2 (GGA-PBE)

Data for a relaxed NpNiRu2 crystal.

```
data_NpNiRu2
_space_group_name_H-M_alt 'P 4/m m m'
_space_group_IT_number 123
_space_group_name_Hall '-P 4 2'
_cell_length_a 4.030
_cell_length_b 4.030
_cell_length_c 3.740
_cell_angle_alpha 90.00
_cell_angle_beta 90.00
_cell_angle_gamma 90.00
loop_
_atom_site_label
_atom_site_fract_x
_atom_site_fract_y
_atom_site_fract_z
Np1 0.000 0.000 0.000
Ni1 0.500 0.500 0.000
Ru1 0.000 0.500 0.500
```

Density of states at the Fermi level: 6.79 states/eV per cell
VASP energy: -37.75 eV/f.u.
Energy of formation: -0.119 eV/atom

***

Record 3
## RbTa2AlSe (GGA-PBE)

Data for a relaxed RbTa2AlSe crystal.

```
data_RbTa2AlSe
_space_group_name_H-M_alt 'P 4/m m m'
_space_group_IT_number 123
_space_group_name_Hall '-P 4 2'
_cell_length_a 4.963
_cell_length_b 4.963
_cell_length_c 5.456
_cell_angle_alpha 90.00
_cell_angle_beta 90.00
_cell_angle_gamma 90.00
loop_
_atom_site_label
_atom_site_fract_x
_atom_site_fract_y
_atom_site_fract_z
Rb1 0.000 0.000 0.000
Ta1 0.000 0.500 0.000
Al1 0.500 0.500 0.500
Se1 0.000 0.000 0.500
```

Density of states at the Fermi level: 6.74 states/eV per cell
VASP energy: -17.43 eV/f.u.

***

Record 4
## Pr2YAl3 (GGA-PBE)

Data for a relaxed Pr2YAl3 crystal.

```
data_Pr2YAl3
_space_group_name_H-M_alt 'C m m m'
_space_group_IT_number 65
_space_group_name_Hall '-C 2 2'
_cell_length_a 5.233
_cell_length_b 15.709
_cell_length_c 7.441
_cell_angle_alpha 90.00
_cell_angle_beta 90.00
_cell_angle_gamma 90.00
loop_
_atom_site_label
_atom_site_fract_x
_atom_site_fract_y
_atom_site_fract_z
Pr1 0.000 0.000 0.000
Pr2 0.000 0.000 0.500
Pr3 0.000 0.336 0.000
Y1 0.000 0.333 0.500
Al1 0.000 0.170 0.260
Al2 0.000 0.500 0.261
```

Density of states at the Fermi level: 9.37 states/eV per cell
VASP energy: -29.43 eV/f.u.
Energy of formation: -0.363 eV/atom

***

Record 5
## Si2HgRu (GGA-PBE)

Data for a relaxed Si2HgRu crystal.

```
data_Si2HgRu
_space_group_name_H-M_alt 'P 4/m m m'
_space_group_IT_number 123
_space_group_name_Hall '-P 4 2'
_cell_length_a 2.939
_cell_length_b 2.939
_cell_length_c 8.278
_cell_angle_alpha 90.00
_cell_angle_beta 90.00
_cell_angle_gamma 90.00
loop_
_atom_site_label
_atom_site_fract_x
_atom_site_fract_y
_atom_site_fract_z
Si1 0.000 0.000 0.176
Hg1 0.500 0.500 0.500
Ru1 0.500 0.500 0.000
```

Density of states at the Fermi level: 1.43 states/eV per cell
VASP energy: -20.23 eV/f.u.

***

Record 6
## BeZnTe2 (GGA-PBE)

Data for a relaxed BeZnTe2 crystal.

```
data_BeZnTe2
_space_group_name_H-M_alt 'P n a 21'
_space_group_IT_number 33
_cell_length_a 7.207
_cell_length_b 8.357
_cell_length_c 6.875
_cell_angle_alpha 90.00
_cell_angle_beta 90.00
_cell_angle_gamma 90.00
loop_
_space_group_symop_operation_xyz
'x,y,z'
'-x,-y,z+1/2'
'-x+1/2,y+1/2,z+1/2'
'x+1/2,-y+1/2,z'
loop_
_atom_site_label
_atom_site_fract_x
_atom_site_fract_y
_atom_site_fract_z
Be1 0.078 0.125 0.000
Zn1 0.087 0.624 0.998
Te1 0.070 0.112 0.641
Te2 0.097 0.638 0.610
```

Density of states at the Fermi level: 0.00 states/eV per cell
VASP energy: -12.90 eV/f.u.

***

Record 7
## Nd3Sm2HoSe6 (GGA-PBE)

Data for a relaxed Nd3Sm2HoSe6 crystal.

```
data_Nd3Sm2HoSe6
_space_group_name_H-M_alt 'C 1 2/m 1'
_space_group_IT_number 12
_cell_length_a 7.205
_cell_length_b 12.544
_cell_length_c 7.279
_cell_angle_alpha 90.00
_cell_angle_beta 109.35
_cell_angle_gamma 90.00
loop_
_space_group_symop_operation_xyz
'x,y,z'
'-x,-y,-z'
'-x,y,-z'
'x,-y,z'
'x+1/2,y+1/2,z'
'-x+1/2,-y+1/2,-z'
'-x+1/2,y+1/2,-z'
'x+1/2,-y+1/2,z'
loop_
_atom_site_label
_atom_site_fract_x
_atom_site_fract_y
_atom_site_fract_z
Nd1 0.000 0.000 0.000
Nd2 0.000 0.329 0.000
Sm1 0.000 0.167 0.500
Ho1 0.000 0.500 0.500
Se1 0.243 0.337 0.740
Se2 0.245 0.500 0.256
```

Density of states at the Fermi level: 11.22 states/eV per cell
VASP energy: -71.01 eV/f.u.

***

Record 8
## CeDy7Tm3 (GGA-PBE)

Data for a relaxed CeDy7Tm3 crystal.

```
data_CeDy7Tm3
_space_group_name_H-M_alt 'P 3 m 1'
_space_group_IT_number 156
_cell_length_a 7.0011
_cell_length_b 7.0011
_cell_length_c 8.5243
_cell_angle_alpha 90.00
_cell_angle_beta 90.00
_cell_angle_gamma 120.00
loop_
_space_group_symop_operation_xyz
'x,y,z'
'-y,x-y,z'
'-x+y,-x,z'
'-y,-x,z'
'-x+y,y,z'
'x,x-y,z'
loop_
_atom_site_label
_atom_site_fract_x
_atom_site_fract_y
_atom_site_fract_z
Ce1 0.0000 0.0000 0.0000
Dy1 0.0016 0.5008 0.9980
Dy2 0.3284 0.1642 0.3315
Dy3 0.3333 0.6667 0.3329
Tm1 0.1655 0.3309 0.6670
```

Density of states at the Fermi level: 19.81 states/eV per cell
VASP energy: -49.26 eV/f.u.
Energy of formation: 0.209 eV/atom

***

Record 9
## PrU3In3Te8 (GGA-PBE)

Data for a relaxed PrU3In3Te8 crystal.

```
data_PrU3In3Te8
_space_group_name_H-M_alt 'R -3 m'
_space_group_IT_number 166
_space_group_name_Hall '-R 3 2"'
_cell_length_a 8.7955
_cell_length_b 8.7955
_cell_length_c 24.5847
_cell_angle_alpha 90.00
_cell_angle_beta 90.00
_cell_angle_gamma 120.00
loop_
_atom_site_label
_atom_site_fract_x
_atom_site_fract_y
_atom_site_fract_z
Pr1 0.0000 0.0000 0.0000
U1 0.0000 0.5000 0.0000
In1 0.0000 0.5000 0.5000
Te1 0.0000 0.0000 0.2596
Te2 0.0113 0.5056 0.2588
```

Density of states at the Fermi level: 63.16 states/eV per cell
VASP energy: -81.32 eV/f.u.

***

Record 10
## TbNdThTl (GGA-PBE)

Data for a relaxed TbNdThTl crystal.

```
data_TbNdThTl
_space_group_name_H-M_alt 'F -4 3 m'
_space_group_IT_number 216
_space_group_name_Hall 'F -4 2 3'
_cell_length_a 7.836
_cell_length_b 7.836
_cell_length_c 7.836
_cell_angle_alpha 90.00
_cell_angle_beta 90.00
_cell_angle_gamma 90.00
loop_
_atom_site_label
_atom_site_fract_x
_atom_site_fract_y
_atom_site_fract_z
Tb1 0.000 0.000 0.000
Nd1 0.000 0.000 0.500
Th1 0.250 0.250 0.250
Tl1 0.250 0.250 0.750
```

Density of states at the Fermi level: 26.73 states/eV per cell
VASP energy: -19.00 eV/f.u.
Energy of formation: 0.046 eV/atom

***

Record 11
## CsCrGaAs2 (GGA-PBE)

Data for a relaxed CsCrGaAs2 crystal.

```
data_CsCrGaAs2
_space_group_name_H-M_alt 'P 4/m m m'
_space_group_IT_number 123
_space_group_name_Hall '-P 4 2'
_cell_length_a 5.206
_cell_length_b 5.206
_cell_length_c 5.175
_cell_angle_alpha 90.00
_cell_angle_beta 90.00
_cell_angle_gamma 90.00
loop_
_atom_site_label
_atom_site_fract_x
_atom_site_fract_y
_atom_site_fract_z
Cs1 0.000 0.000 0.000
Cr1 0.500 0.500 0.000
Ga1 0.500 0.500 0.500
As1 0.000 0.500 0.500
```

Density of states at the Fermi level: 4.37 states/eV per cell
VASP energy: -20.34 eV/f.u.
Energy of formation: 0.493 eV/atom

***

Record 12
## Y2Al5Ni5 (GGA-PBE)

Data for a relaxed Y2Al5Ni5 crystal.

```
data_Y2Al5Ni5
_space_group_name_H-M_alt 'P 1 m 1'
_space_group_IT_number 6
_cell_length_a 8.925
_cell_length_b 4.053
_cell_length_c 15.519
_cell_angle_alpha 90.00
_cell_angle_beta 90.25
_cell_angle_gamma 90.00
loop_
_space_group_symop_operation_xyz
'x,y,z'
'x,-y,z'
loop_
_atom_site_label
_atom_site_fract_x
_atom_site_fract_y
_atom_site_fract_z
Y1 0.000 0.000 0.000
Y2 0.002 0.000 0.335
Y3 0.487 0.500 0.168
Y4 0.499 0.000 0.833
Y5 0.503 0.000 0.506
Y6 0.995 0.500 0.675
Al1 0.007 0.500 0.169
Al2 0.149 0.000 0.522
Al3 0.244 0.500 0.911
Al4 0.252 0.500 0.422
Al5 0.285 0.000 0.675
Al6 0.344 0.000 0.027
Al7 0.347 0.000 0.310
Al8 0.511 0.500 0.668
Al9 0.643 0.000 0.021
Al10 0.647 0.000 0.317
Al11 0.745 0.500 0.922
Al12 0.752 0.500 0.418
Al13 0.796 0.000 0.169
Al14 0.850 0.000 0.530
Al15 0.857 0.000 0.810
Ni1 0.000 0.500 0.490
Ni2 0.146 0.000 0.818
Ni3 0.196 0.000 0.168
Ni4 0.219 0.500 0.071
Ni5 0.223 0.500 0.264
Ni6 0.274 0.500 0.582
Ni7 0.281 0.500 0.758
Ni8 0.491 0.500 0.986
Ni9 0.499 0.500 0.351
Ni10 0.700 0.000 0.671
Ni11 0.723 0.500 0.766
Ni12 0.728 0.500 0.575
Ni13 0.771 0.500 0.080
Ni14 0.772 0.500 0.258
Ni15 0.991 0.500 0.855
```

Density of states at the Fermi level: 23.80 states/eV per cell
VASP energy: -68.09 eV/f.u.
Energy of formation: -0.629 eV/atom

***

Record 13
## RbNbBOs2 (GGA-PBE)

Data for a relaxed RbNbBOs2 crystal.

```
data_RbNbBOs2
_space_group_name_H-M_alt 'P 4/m m m'
_space_group_IT_number 123
_space_group_name_Hall '-P 4 2'
_cell_length_a 4.758
_cell_length_b 4.758
_cell_length_c 6.115
_cell_angle_alpha 90.00
_cell_angle_beta 90.00
_cell_angle_gamma 90.00
loop_
_atom_site_label
_atom_site_fract_x
_atom_site_fract_y
_atom_site_fract_z
Rb1 0.000 0.000 0.000
Nb1 0.000 0.000 0.500
B1 0.500 0.500 0.000
Os1 0.000 0.500 0.500
```

Density of states at the Fermi level: 4.98 states/eV per cell
VASP energy: -26.50 eV/f.u.
Energy of formation: 2.735 eV/atom

***

Record 14
## LaCuCl2 (GGA-PBE)

Data for a relaxed LaCuCl2 crystal.

```
data_LaCuCl2
_space_group_name_H-M_alt 'R 3 m'
_space_group_IT_number 160
_space_group_name_Hall 'R 3 -2"'
_cell_length_a 4.3789
_cell_length_b 4.3789
_cell_length_c 21.2879
_cell_angle_alpha 90.00
_cell_angle_beta 90.00
_cell_angle_gamma 120.00
loop_
_atom_site_label
_atom_site_fract_x
_atom_site_fract_y
_atom_site_fract_z
La1 0.0000 0.0000 0.0000
Cu1 0.0000 0.0000 0.7288
Cl1 0.0000 0.0000 0.2590
Cl2 0.0000 0.0000 0.4343
```

VASP energy: -17.39 eV/f.u.

***

Record 15
## LaAl2Os (GGA-PBE)

Data for a relaxed LaAl2Os crystal.

```
data_LaAl2Os
_space_group_name_H-M_alt 'P 1 m 1'
_space_group_IT_number 6
_cell_length_a 3.035
_cell_length_b 4.045
_cell_length_c 6.706
_cell_angle_alpha 90.00
_cell_angle_beta 99.87
_cell_angle_gamma 90.00
loop_
_space_group_symop_operation_xyz
'x,y,z'
'x,-y,z'
loop_
_atom_site_label
_atom_site_fract_x
_atom_site_fract_y
_atom_site_fract_z
La1 0.000 0.000 0.000
Al1 0.325 0.000 0.446
Al2 0.378 0.500 0.685
Os1 0.767 0.500 0.355
```

Density of states at the Fermi level: 2.41 states/eV per cell
VASP energy: -24.16 eV/f.u.
Energy of formation: -0.128 eV/atom

***

Record 16
## Li8GaAg6 (GGA-PBE)

Data for a relaxed Li8GaAg6 crystal.

```
data_Li8GaAg6
_space_group_name_H-M_alt 'R -3'
_space_group_IT_number 148
_space_group_name_Hall '-R 3'
_cell_length_a 7.1127
_cell_length_b 7.1127
_cell_length_c 17.3575
_cell_angle_alpha 90.00
_cell_angle_beta 90.00
_cell_angle_gamma 120.00
loop_
_atom_site_label
_atom_site_fract_x
_atom_site_fract_y
_atom_site_fract_z
Li1 0.0000 0.0000 0.0892
Li2 0.0519 0.2593 0.6284
Ga1 0.0000 0.0000 0.5000
Ag1 0.0199 0.7697 0.2142
```

Density of states at the Fermi level: 6.03 states/eV per cell
VASP energy: -37.73 eV/f.u.
Energy of formation: -0.153 eV/atom

***

Record 17
## H2IrI (GGA-PBE)

Data for a relaxed H2IrI crystal.

```
data_H2IrI
_space_group_name_H-M_alt 'I -4 2 d'
_space_group_IT_number 122
_space_group_name_Hall 'I -4 2bw'
_cell_length_a 5.454
_cell_length_b 5.454
_cell_length_c 7.688
_cell_angle_alpha 90.00
_cell_angle_beta 90.00
_cell_angle_gamma 90.00
loop_
_atom_site_label
_atom_site_fract_x
_atom_site_fract_y
_atom_site_fract_z
H1 0.055 0.750 0.125
Ir1 0.000 0.000 0.000
I1 0.000 0.000 0.500
```

Density of states at the Fermi level: 11.54 states/eV per cell
VASP energy: -14.74 eV/f.u.

***

Record 18
## La2ScMo (GGA-PBE)

Data for a relaxed La2ScMo crystal.

```
data_La2ScMo
_space_group_name_H-M_alt 'P 4/m m m'
_space_group_IT_number 123
_space_group_name_Hall '-P 4 2'
_cell_length_a 3.699
_cell_length_b 3.699
_cell_length_c 7.675
_cell_angle_alpha 90.00
_cell_angle_beta 90.00
_cell_angle_gamma 90.00
loop_
_atom_site_label
_atom_site_fract_x
_atom_site_fract_y
_atom_site_fract_z
La1 0.000 0.000 0.221
Sc1 0.500 0.500 0.500
Mo1 0.500 0.500 0.000
```

Density of states at the Fermi level: 5.11 states/eV per cell
VASP energy: -25.59 eV/f.u.
Energy of formation: 0.358 eV/atom

***

Record 19
## VNi3Pt12 (GGA-PBE)

Data for a relaxed VNi3Pt12 crystal.

```
data_VNi3Pt12
_space_group_name_H-M_alt 'P 4/m m m'
_space_group_IT_number 123
_space_group_name_Hall '-P 4 2'
_cell_length_a 3.893
_cell_length_b 3.893
_cell_length_c 15.553
_cell_angle_alpha 90.00
_cell_angle_beta 90.00
_cell_angle_gamma 90.00
loop_
_atom_site_label
_atom_site_fract_x
_atom_site_fract_y
_atom_site_fract_z
V1 0.000 0.000 0.000
Ni1 0.000 0.000 0.253
Ni2 0.000 0.000 0.500
Pt1 0.000 0.500 0.124
Pt2 0.000 0.500 0.375
Pt3 0.500 0.500 0.000
Pt4 0.500 0.500 0.250
Pt5 0.500 0.500 0.500
```

Density of states at the Fermi level: 25.58 states/eV per cell
VASP energy: -101.88 eV/f.u.
Energy of formation: -0.183 eV/atom

***

Record 20
## Mn2SiPt (GGA-PBE)

Data for a relaxed Mn2SiPt crystal.

```
data_Mn2SiPt
_space_group_name_H-M_alt 'P 4/m m m'
_space_group_IT_number 123
_space_group_name_Hall '-P 4 2'
_cell_length_a 2.678
_cell_length_b 2.678
_cell_length_c 7.078
_cell_angle_alpha 90.00
_cell_angle_beta 90.00
_cell_angle_gamma 90.00
loop_
_atom_site_label
_atom_site_fract_x
_atom_site_fract_y
_atom_site_fract_z
Mn1 0.000 0.000 0.225
Si1 0.500 0.500 0.000
Pt1 0.500 0.500 0.500
```

Density of states at the Fermi level: 3.05 states/eV per cell
VASP energy: -30.89 eV/f.u.